Entry 1:
VASP calculation (PBE-GGA) on crystalline TbErMgHg at its relaxed geometry.

Computed properties:
final energy: -12.13 eV for the cell shown

Cell lengths 5.2845, 5.2845, 5.2845 Å; angles 60.00, 60.00, 60.00 degrees
With the nearest neighbours (Å) after each atom.
Element x y z (fractional)
Tb (0.0000, 0.0000, 0.0000)  4 Hg 3.24, 4 Mg 3.24
Er (0.5000, 0.5000, 0.5000)  4 Hg 3.24, 4 Mg 3.24
Mg (0.2500, 0.2500, 0.2500)  4 Tb 3.24, 4 Er 3.24
Hg (0.7500, 0.7500, 0.7500)  4 Tb 3.24, 4 Er 3.24

Entry 2:
VASP calculation (PBE-GGA) on crystalline Ca2InGa2 at its relaxed geometry.

Computed properties:
final energy: -13.32 eV for the cell shown

Cell lengths 7.0251, 7.0251, 7.0251 Å; angles 140.36, 140.36, 57.31 degrees
With the nearest neighbours (Å) after each atom.
Element x y z (fractional)
Ca (0.2500, 0.7500, 0.5000)  4 Ga 3.05, 4 Ca 3.37
Ca (0.7500, 0.2500, 0.5000)  4 Ga 3.05, 4 Ca 3.37
In (0.0000, 0.0000, 0.0000)  8 Ga 3.57, 8 Ca 3.90
Ga (0.4047, 0.4047, 0.0000)  1 Ga 2.35
Ga (0.5953, 0.5953, 0.0000)  1 Ga 2.35

Entry 3:
VASP calculation (PBE-GGA) on crystalline CeEr2Rh at its relaxed geometry.

Computed properties:
final energy: -23.56 eV for the cell shown

Cell lengths 9.5304, 9.5304, 9.5304 Å; angles 22.84, 22.84, 22.84 degrees
With the nearest neighbours (Å) after each atom.
Element x y z (fractional)
Ce (0.0000, 0.0000, 0.0000)  6 Er 3.67-3.75, 6 Ce 3.77
Er (0.5569, 0.5569, 0.5569)  3 Rh 2.73
Er (0.7730, 0.7730, 0.7730)  3 Rh 2.72
Rh (0.1648, 0.1648, 0.1648)  6 Er 2.72-2.73